# Tc2BiF

Crystalline Tc2BiF at its relaxed geometry (PBE, Alexandria via LeMat-Bulk).

```
Tc2BiF
1.0
-1.6970 2.1549 3.0442
1.4199 -2.7195 2.7165
7.1156 4.3027 3.6787
F Bi Tc
2 2 4
Cartesian
-0.1386 -0.2823 2.8804 F
4.1984 0.6505 4.6378 F
0.0000 0.0000 0.0000 Bi
2.6400 3.0876 4.8017 Bi
1.5766 1.2180 1.9405 Tc
1.7733 0.5100 4.2194 Tc
5.8024 1.9242 6.0092 Tc
4.5245 3.8241 6.7098 Tc
```

Properties
Distance to the lowest polymorph of the same formula   0.0 meV per atom
ρ   9.730 g/cm³
D(E_F)   5.92 states/eV per cell
V   144.7 Å³/cell
Total DFT energy (no corrections)   -6.41 eV per atom
Formation energy without anion corrections   0.21 eV/atom


# Tc2BiF

Crystalline Tc2BiF at its relaxed geometry (PBE, Alexandria via LeMat-Bulk).

```
Tc2BiF
1.0
0.6055 2.0680 4.0356
-2.4401 3.7244 1.0506
-3.2613 -0.2297 3.2001
F Bi Tc
1 1 2
Cartesian
0.0000 0.0000 0.0000 F
-2.5479 2.7814 4.1431 Bi
-1.2740 1.3907 2.0716 Tc
-3.8219 4.1720 6.2147 Tc
```

Properties
Distance to the lowest polymorph of the same formula   250.8 meV per atom
ρ   10.399 g/cm³
D(E_F)   2.53 states/eV per cell
V   67.7 Å³/cell
Total DFT energy (no corrections)   -6.16 eV per atom
Formation energy without anion corrections   0.46 eV/atom


# Tc3BiF

Crystalline Tc3BiF at its relaxed geometry (PBE, Alexandria via LeMat-Bulk).

```
Tc3BiF
1.0
-0.7868 -4.1720 -1.0677
0.3585 -1.1451 4.2101
-4.2915 0.6692 0.5474
F Bi Tc
1 1 3
Cartesian
0.0000 0.0000 0.0000 F
-2.3599 -2.3239 1.8449 Bi
0.1792 -0.5725 2.1050 Tc
-2.1457 0.3346 0.2737 Tc
-0.3934 -2.0860 -0.5339 Tc
```

Properties
Distance to the lowest polymorph of the same formula   0.0 meV per atom
ρ   10.331 g/cm³
D(E_F)   5.78 states/eV per cell
V   83.9 Å³/cell
Total DFT energy (no corrections)   -6.42 eV per atom
Formation energy without anion corrections   0.95 eV/atom


# TcBi3F

Crystalline TcBi3F at its relaxed geometry (PBE, Alexandria via LeMat-Bulk).

```
TcBi3F
1.0
5.3157 0.0000 0.0000
0.0000 5.3157 0.0000
0.0000 0.0000 5.3157
F Bi Tc
1 3 1
Cartesian
2.6578 2.6578 2.6578 F
0.0000 2.6578 0.0000 Bi
0.0000 0.0000 2.6578 Bi
2.6578 0.0000 0.0000 Bi
0.0000 0.0000 0.0000 Tc
```

Properties
Distance to the lowest polymorph of the same formula   0.0 meV per atom
ρ   8.224 g/cm³
D(E_F)   6.30 states/eV per cell
V   150.2 Å³/cell
Total DFT energy (no corrections)   -4.61 eV per atom
Formation energy without anion corrections   0.17 eV/atom


# Tc2Bi2F

Crystalline Tc2Bi2F at its relaxed geometry (PBE, Alexandria via LeMat-Bulk).

```
Tc2Bi2F
1.0
8.3201 0.0000 0.0000
0.0000 8.3201 0.0000
0.0000 0.0000 3.1518
F Bi Tc
2 4 4
Cartesian
0.0000 0.0000 0.0000 F
4.1600 4.1600 0.0000 F
2.5786 6.7387 0.0000 Bi
6.7387 5.7414 0.0000 Bi
5.7414 1.5814 0.0000 Bi
1.5814 2.5786 0.0000 Bi
0.7795 4.9396 1.5759 Tc
4.9396 7.5405 1.5759 Tc
7.5405 3.3805 1.5759 Tc
3.3805 0.7795 1.5759 Tc
```

Properties
Distance to the lowest polymorph of the same formula   504.3 meV per atom
ρ   9.635 g/cm³
D(E_F)   10.47 states/eV per cell
V   218.2 Å³/cell
Total DFT energy (no corrections)   -5.80 eV per atom
Formation energy without anion corrections   0.27 eV/atom


# Tc3BiF

Crystalline Tc3BiF at its relaxed geometry (PBE, Alexandria via LeMat-Bulk).

```
Tc3BiF
1.0
-4.5341 -2.4761 0.7931
2.5391 -3.8736 2.4220
-0.5596 2.4863 4.5632
F Bi Tc
1 1 3
Cartesian
-1.2773 -1.9317 3.8891 F
0.0000 0.0000 0.0000 Bi
1.2695 -1.9368 1.2110 Tc
-0.2798 1.2432 2.2816 Tc
-2.2670 -1.2381 0.3965 Tc
```

Properties
Distance to the lowest polymorph of the same formula   1257.9 meV per atom
ρ   6.071 g/cm³
D(E_F)   6.86 states/eV per cell
V   142.8 Å³/cell
Total DFT energy (no corrections)   -5.17 eV per atom
Formation energy without anion corrections   2.20 eV/atom